# 1
## SrIn2Ru (GGA-PBE)

Data for a geometry-optimized SrIn2Ru structure.

abc: 5.0765 5.0765 5.0765
angles: 60.00 60.00 60.00
With the nearest neighbours (Å) after each atom.
Fractional coordinates of all 4 atoms:
In 0.0000 0.0000 0.0000  4 In 3.11, 4 Sr 3.11
In 0.2500 0.2500 0.2500  4 In 3.11, 4 Ru 3.11
Ru 0.5000 0.5000 0.5000  4 In 3.11, 4 Sr 3.11
Sr 0.7500 0.7500 0.7500  4 Ru 3.11, 4 In 3.11

Values from the calculation:
space-group type: F-43m
calculated formation energy: 0.2718 eV per atom

=====

# 2
## Ac4CoPb2 (GGA-PBE)

Data for a geometry-optimized Ac4CoPb2 structure.

abc: 5.1772 5.5210 8.9713
angles: 107.92 90.00 90.00
With the nearest neighbours (Å) after each atom.
Fractional coordinates of all 7 atoms:
Pb 0.5000 0.3454 0.6909  10 Ac 3.70-3.88
Pb 0.5000 0.6546 0.3091  10 Ac 3.70-3.88
Ac 0.0000 0.5000 0.0000  2 Co 2.76
Ac 0.5000 0.0000 0.0000  2 Co 2.59
Ac 0.0000 0.1758 0.3517  1 Co 3.00
Ac 0.0000 0.8242 0.6483  1 Co 3.00
Co 0.0000 0.0000 0.0000  4 Ac 2.59-2.76

Values from the calculation:
space-group type: Cmmm
relative energy among the computed polymorphs: 0.055 eV per atom
calculated formation energy: -0.2852 eV per atom

=====

# 3
## Pu4OsPd (GGA-PBE)

Data for a geometry-optimized Pu4OsPd structure.

abc: 5.1236 5.1236 9.5474
angles: 105.56 105.56 90.00
With the nearest neighbours (Å) after each atom.
Fractional coordinates of all 12 atoms:
Pu 0.1397 0.1250 0.7500  3 Pu 2.41-2.56
Pu 0.8750 0.8603 0.2500  3 Pu 2.41-2.56
Pu 0.1397 0.6250 0.7500  3 Pu 2.41-2.56
Pu 0.3750 0.3897 0.2500  3 Pu 2.41-2.56
Pu 0.6103 0.1250 0.7500  3 Pu 2.41-2.56
Pu 0.6103 0.6250 0.7500  3 Pu 2.41-2.56
Pu 0.3750 0.8603 0.2500  3 Pu 2.41-2.56
Pu 0.8750 0.3897 0.2500  3 Pu 2.41-2.56
Os 0.2500 0.7500 0.5000  8 Pu 2.82
Os 0.5000 0.5000 0.0000  8 Pu 2.82
Pd 0.0000 0.0000 0.0000  8 Pu 2.89
Pd 0.7500 0.2500 0.5000  8 Pu 2.89

Values from the calculation:
space-group type: I4_1/amd
relative energy among the computed polymorphs: 1.013 eV per atom
calculated formation energy: 0.9361 eV per atom

=====

# 4
## TbZn3Rh4 (GGA-PBE)

Data for a geometry-optimized TbZn3Rh4 structure.

abc: 4.3896 6.3643 8.7792
angles: 90.00 90.00 90.00
With the nearest neighbours (Å) after each atom.
Fractional coordinates of all 16 atoms:
Rh 0.5000 0.7712 0.0000  6 Zn 2.63-2.79, 2 Tb 2.79, 1 Rh 2.91
Rh 0.5000 0.7712 0.5000  6 Zn 2.63-2.79, 2 Tb 2.79, 1 Rh 2.91
Rh 0.5000 0.2288 0.0000  6 Zn 2.63-2.79, 2 Tb 2.79, 1 Rh 2.91
Rh 0.5000 0.2288 0.5000  6 Zn 2.63-2.79, 2 Tb 2.79, 1 Rh 2.91
Rh 0.9997 0.7712 0.7500  6 Zn 2.63-2.79, 2 Tb 2.79, 1 Rh 2.91
Rh 0.0003 0.7712 0.2500  6 Zn 2.63-2.79, 2 Tb 2.79, 1 Rh 2.91
Rh 0.0003 0.2288 0.2500  6 Zn 2.63-2.79, 2 Tb 2.79, 1 Rh 2.91
Rh 0.9997 0.2288 0.7500  6 Zn 2.63-2.79, 2 Tb 2.79, 1 Rh 2.91
Zn 0.0000 0.0000 0.0000  8 Rh 2.63
Zn 0.0000 0.0000 0.5000  8 Rh 2.63
Zn 0.4996 0.0000 0.7500  8 Rh 2.63
Zn 0.5004 0.0000 0.2500  8 Rh 2.63
Zn 0.5000 0.5000 0.7500  8 Rh 2.79, 4 Tb 3.10
Zn 0.5000 0.5000 0.2500  8 Rh 2.79, 4 Tb 3.10
Tb 0.0000 0.5000 0.0000  8 Rh 2.79, 4 Zn 3.10
Tb 0.0000 0.5000 0.5000  8 Rh 2.79, 4 Zn 3.10

Values from the calculation:
space-group type: P4/mmm
calculated formation energy: -0.5146 eV per atom

=====

# 5
## TiTlCl3 (GGA-PBE)

Data for a geometry-optimized TiTlCl3 structure.

abc: 5.0314 5.0314 5.0314
angles: 90.00 90.00 90.00
With the nearest neighbours (Å) after each atom.
Fractional coordinates of all 5 atoms:
Tl 0.5000 0.5000 0.5000  12 Cl 3.56
Cl 0.0000 0.5000 0.0000  2 Ti 2.52
Cl 0.0000 0.0000 0.5000  2 Ti 2.52
Cl 0.5000 0.0000 0.0000  2 Ti 2.52
Ti 0.0000 0.0000 0.0000  6 Cl 2.52

Values from the calculation:
space-group type: Pm-3m
relative energy among the computed polymorphs: 0.065 eV per atom

=====

# 6
## ScIn2Rh (GGA-PBE)

Data for a geometry-optimized ScIn2Rh structure.

abc: 7.9861 7.9861 6.2901
angles: 50.59 50.59 90.00
With the nearest neighbours (Å) after each atom.
Fractional coordinates of all 8 atoms:
Sc 0.5000 0.5000 0.0000  2 Rh 2.77
Sc 0.2500 0.7500 0.5000  2 Rh 2.77
Rh 0.0000 0.0000 0.0000  4 In 2.67, 2 Sc 2.77
Rh 0.7500 0.2500 0.5000  4 In 2.67, 2 Sc 2.77
In 0.6717 0.1250 0.2500  2 Rh 2.67, 2 In 2.87
In 0.0783 0.6250 0.2500  2 Rh 2.67, 2 In 2.87
In 0.3750 0.3283 0.7500  2 Rh 2.67, 2 In 2.87
In 0.8750 0.9217 0.7500  2 Rh 2.67, 2 In 2.87

Values from the calculation:
space-group type: I-42d
calculated formation energy: -0.1956 eV per atom

=====

# 7
## KInCu2 (GGA-PBE)

Data for a geometry-optimized KInCu2 structure.

abc: 5.0212 5.0212 9.7451
angles: 75.07 75.07 90.00
With the nearest neighbours (Å) after each atom.
Fractional coordinates of all 8 atoms:
K 0.5000 0.5000 0.0000  4 In 3.55, 8 Cu 3.61
K 0.2500 0.7500 0.5000  4 In 3.55, 8 Cu 3.61
Cu 0.8753 0.1250 0.2500  2 Cu 2.51, 2 In 2.59
Cu 0.8747 0.6250 0.2500  2 Cu 2.51, 2 In 2.59
Cu 0.3750 0.1247 0.7500  2 Cu 2.51, 2 In 2.59
Cu 0.8750 0.1253 0.7500  2 Cu 2.51, 2 In 2.59
In 0.0000 0.0000 0.0000  4 Cu 2.59
In 0.7500 0.2500 0.5000  4 Cu 2.59

Values from the calculation:
space-group type: I4_1/amd
relative energy among the computed polymorphs: 0.212 eV per atom
calculated formation energy: 0.2563 eV per atom

=====

# 8
## K2TlBiI6 (GGA-PBE)

Data for a geometry-optimized K2TlBiI6 structure.

abc: 8.6998 8.6991 9.0562
angles: 61.29 61.29 59.99
With the nearest neighbours (Å) after each atom.
Fractional coordinates of all 10 atoms:
K 0.5284 0.5283 0.4148  6 I 3.59-3.66
K 0.0178 0.0179 0.9465  6 I 3.55-3.63
Tl 0.8174 0.8174 0.5477  6 I 3.43-3.57
Bi 0.3251 0.3250 0.0249  6 I 3.11-3.12
I 0.5671 0.2015 0.2542  1 Bi 3.11
I 0.2016 0.9772 0.2540  1 Bi 3.11
I 0.9772 0.5672 0.2541  1 Bi 3.11
I 0.4355 0.6797 0.7730  1 Bi 3.12, 1 Tl 3.43
I 0.6797 0.1117 0.7731  1 Bi 3.12, 1 Tl 3.43
I 0.1117 0.4356 0.7731  1 Bi 3.12, 1 Tl 3.43

Values from the calculation:
space-group type: R3

=====

# 9
## RbTl9Au3 (GGA-PBE)

Data for a geometry-optimized RbTl9Au3 structure.

abc: 5.8916 7.9017 9.0747
angles: 84.54 71.06 72.96
With the nearest neighbours (Å) after each atom.
Fractional coordinates of all 13 atoms:
Rb 0.0000 0.0000 0.0000  14 Tl 3.87-4.08, 2 Au 4.18
Tl 0.7009 0.7830 0.7747  3 Au 3.11-3.24, 4 Tl 3.27-3.39
Tl 0.2991 0.2170 0.2253  3 Au 3.11-3.24, 4 Tl 3.27-3.39
Tl 0.5244 0.2170 0.7747  3 Au 3.11-3.24, 4 Tl 3.27-3.39
Tl 0.4756 0.7830 0.2253  3 Au 3.11-3.24, 4 Tl 3.27-3.39
Tl 0.6671 0.3389 0.3706  2 Au 3.12-3.20, 4 Tl 3.27-3.48
Tl 0.3329 0.6611 0.6294  2 Au 3.12-3.20, 4 Tl 3.27-3.48
Tl 0.9623 0.6611 0.3706  2 Au 3.12-3.20, 4 Tl 3.27-3.48
Tl 0.0377 0.3389 0.6294  2 Au 3.12-3.20, 4 Tl 3.27-3.48
Tl 0.0000 0.5000 0.0000  2 Au 2.95
Au 0.5000 0.5000 0.0000  6 Tl 2.95-3.11
Au 0.0000 0.0000 0.5000  2 Au 2.95, 8 Tl 3.12-3.24
Au 0.5000 0.0000 0.5000  2 Au 2.95, 8 Tl 3.12-3.24

Values from the calculation:
space-group type: C2/m
calculated formation energy: -0.0331 eV per atom

=====

# 10
## TcPI2O (GGA-PBE)

Data for a geometry-optimized TcPI2O structure.

abc: 5.6836 5.6836 3.5275
angles: 90.00 90.00 90.00
With the nearest neighbours (Å) after each atom.
Fractional coordinates of all 5 atoms:
I 0.0000 0.5000 0.0000  2 P 2.84
I 0.5000 0.0000 0.0000  2 P 2.84
P 0.0000 0.0000 0.0000  2 O 1.76
Tc 0.5000 0.5000 0.5000  8 I 3.34, 2 Tc 3.53
O 0.0000 0.0000 0.5000  2 P 1.76

Values from the calculation:
space-group type: P4/mmm
relative energy among the computed polymorphs: 0.260 eV per atom

=====

# 11
## B5C7 (GGA-PBE)

Data for a geometry-optimized B5C7 structure.

abc: 2.6485 2.6485 14.6937
angles: 90.00 90.00 120.00
With the nearest neighbours (Å) after each atom.
Fractional coordinates of all 12 atoms:
B 0.6667 0.3333 0.8615  4 C 1.67
B 0.3333 0.6667 0.7371  3 C 1.54
B 0.0000 0.0000 0.3481  4 C 1.65-1.68
B 0.3333 0.6667 0.4716  3 C 1.54
B 0.3333 0.6667 0.1552  4 C 1.60-1.69
C 0.0000 0.0000 0.9076  1 C 1.49, 3 B 1.67
C 0.6667 0.3333 0.7481  4 B 1.54-1.67
C 0.6667 0.3333 0.3004  1 C 1.42
C 0.0000 0.0000 0.4604  4 B 1.54-1.65
C 0.6667 0.3333 0.2040  1 C 1.42
C 0.0000 0.0000 0.0093  4 C 1.49-1.62
C 0.3333 0.6667 0.0467  1 B 1.60, 3 C 1.62

Values from the calculation:
space-group type: P3m1
relative energy among the computed polymorphs: 0.003 eV per atom
calculated formation energy: 0.2609 eV per atom

=====

Density values, unit g/cm³, following the record order: 7.5; 9.4; 18.2; 10.4; 4.7; 7.1; 4.1; 4.2; 10.9; 5.8; 2.6.
E values, unit eV/atom, following the record order: -3.84; -4.71; -11.36; -5.25; -4.35; -4.99; -2.75; -2.68; -2.50; -4.28; -7.90.